{
  "formula": "Pr4GaAg2Hg",
  "functional": "PBE",
  "state": "relaxed",
  "lattice_angstrom": [[5.357, 0.000, 0.000], [2.678, 4.639, 0.000], [2.678, 1.546, 8.774]],
  "species": ["Pr", "Pr", "Pr", "Pr", "Ga", "Ag", "Ag", "Hg"],
  "frac_coords": [[0.378, 0.378, 0.866], [0.872, 0.872, 0.383], [0.128, 0.128, 0.617], [0.622, 0.622, 0.134], [0.500, 0.500, 0.500], [0.748, 0.748, 0.757], [0.252, 0.252, 0.243], [0.000, 0.000, 0.000]],
  "energy_ev_per_atom": -3.90,
  "sg": "R-3m, No. 166"
}

***

{
  "formula": "RbGaAg2Hg",
  "functional": "PBE",
  "state": "relaxed",
  "lattice_angstrom": [[-3.818, 0.190, 3.497], [3.299, -1.538, 3.686], [1.236, 5.207, 1.066]],
  "species": ["Rb", "Ga", "Hg", "Ag", "Ag"],
  "frac_coords": [[0.500, 0.500, 0.500], [0.000, 0.000, 0.000], [0.000, 0.000, 0.500], [0.000, 0.500, 0.000], [0.500, 0.000, 0.000]],
  "energy_ev_per_atom": -1.99,
  "sg": "P4/mmm, No. 123"
}

***

Which formation energy belongs to each record? In order, -377, 5 meV per atom.